Entry from the Alexandria database: a relaxed Y3Be crystal (PBE-GGA).

The energy above the most stable polymorph in this dataset is 0.81 eV per formula unit. Its density of states at the Fermi level is 1.29 states/eV per atom. Its energy relative to the elements is 1.1 eV/f.u.

The structure belongs to space group Pm-3m (No. 221); the cell edges are 4.698, 4.698 and 4.698 Å and the angles 90.00°, 90.00° and 90.00°. The asymmetric unit holds Y at (0.000, 0.000, 0.500) and Be at (0.500, 0.500, 0.500).

Entry from the Alexandria database: a relaxed LaTlTc2O8 crystal (PBE-GGA).

The formation energy without anion corrections is -1752.0 meV per atom. Its density of states at the Fermi level is 0.76 states/eV per atom.

The structure belongs to space group P-3 (No. 147); the cell edges are 6.1504, 6.1504 and 7.9046 Å and the angles 90.00°, 90.00° and 120.00°. The asymmetric unit holds La at (0.0000, 0.0000, 0.0000), Tl at (0.0000, 0.0000, 0.5000), Tc at (0.3333, 0.6667, 0.2694), O at (0.1724, 0.3487, 0.1915) and O at (0.3333, 0.6667, 0.4901).

Entry from the Alexandria database: a relaxed DyThBi crystal (PBE-GGA).

Its density of states at the Fermi level is 1.37 states/eV per atom. Its energy relative to the elements is -0.4 eV/f.u.

The structure belongs to space group P3m1 (No. 156); the cell edges are 5.4801, 5.4801 and 3.6577 Å and the angles 90.00°, 90.00° and 120.00°. The asymmetric unit holds Dy at (0.0000, 0.0000, 0.0000), Th at (0.6667, 0.3333, 0.4855) and Bi at (0.3333, 0.6667, 0.7931).

Entry from the Alexandria database: a relaxed Dy5SbIr2 crystal (PBE-GGA).

The formation energy without anion corrections is -834.3 meV per atom. Its density of states at the Fermi level is 0.78 states/eV per atom.

The structure belongs to space group I4/mcm (No. 140); the cell edges are 7.805, 7.805 and 13.343 Å and the angles 90.00°, 90.00° and 90.00°. The asymmetric unit holds Dy at (0.000, 0.000, 0.000), Dy at (0.157, 0.343, 0.134), Sb at (0.000, 0.000, 0.250) and Ir at (0.139, 0.361, 0.500).

Entry from the Alexandria database: a relaxed Rb3RuI6 crystal (PBE-GGA).

The energy above the most stable polymorph in this dataset is 0.00 eV per formula unit. The formation energy without anion corrections is -812.7 meV per atom. Its density of states at the Fermi level is 0.98 states/eV per atom.

The structure belongs to space group Fmmm (No. 69); the cell edges are 10.325, 12.792 and 14.665 Å and the angles 90.00°, 90.00° and 90.00°. The asymmetric unit holds Rb at (0.000, 0.000, 0.000), Rb at (0.250, 0.250, 0.250), Ru at (0.000, 0.000, 0.500), I at (0.000, 0.214, 0.500) and I at (0.187, 0.000, 0.369).

Entry from the Alexandria database: a relaxed Tb4Cd2InPd crystal (PBE-GGA).

Its density of states at the Fermi level is 0.58 states/eV per atom. Its energy relative to the elements is -3.9 eV/f.u.

The structure belongs to space group R-3m (No. 166, hexagonal axes); the cell edges are 5.2435, 5.2435 and 25.5051 Å and the angles 90.00°, 90.00° and 120.00°. The asymmetric unit holds Tb at (0.0000, 0.0000, 0.1178), Tb at (0.0000, 0.0000, 0.3699), Cd at (0.0000, 0.0000, 0.2445), In at (0.0000, 0.0000, 0.5000) and Pd at (0.0000, 0.0000, 0.0000).

Entry from the Alexandria database: a relaxed TlCdBiTe3 crystal (PBE-GGA).

The formation energy without anion corrections is -324.1 meV per atom.

The structure belongs to space group P2_1/m (No. 11); the cell edges are 9.403, 4.573 and 10.415 Å and the angles 90.00°, 103.65° and 90.00°. The asymmetric unit holds Tl at (0.197, 0.250, 0.234), Cd at (0.085, 0.250, 0.605), Bi at (0.329, 0.750, 0.869), Te at (0.101, 0.250, 0.883), Te at (0.233, 0.750, 0.527) and Te at (0.443, 0.750, 0.164).

Entry from the Alexandria database: a relaxed CoNi3Os crystal (PBE-GGA).

The energy above the most stable polymorph in this dataset is 0.00 eV per formula unit. Its density of states at the Fermi level is 1.45 states/eV per atom. Its energy relative to the elements is 7.1 eV/f.u.

The structure belongs to space group Pm-3m (No. 221); the cell edges are 4.163, 4.163 and 4.163 Å and the angles 90.00°, 90.00° and 90.00°. The asymmetric unit holds Co at (0.000, 0.000, 0.000), Ni at (0.000, 0.000, 0.500) and Os at (0.500, 0.500, 0.500).

Entry from the Alexandria database: a relaxed CaNdEr2 crystal (PBE-GGA).

The energy above the most stable polymorph in this dataset is 0.41 eV per formula unit. Its density of states at the Fermi level is 1.81 states/eV per atom. Its energy relative to the elements is 0.7 eV/f.u.

The structure belongs to space group Fm-3m (No. 225); the cell edges are 8.144, 8.144 and 8.144 Å and the angles 90.00°, 90.00° and 90.00°. The asymmetric unit holds Ca at (0.000, 0.000, 0.000), Nd at (0.000, 0.000, 0.500) and Er at (0.250, 0.250, 0.250).

Entry from the Alexandria database: a relaxed Ca2TbNi9 crystal (PBE-GGA).

Its density of states at the Fermi level is 1.05 states/eV per atom. Its energy relative to the elements is -3.0 eV/f.u.

The structure belongs to space group R-3m (No. 166, hexagonal axes); the cell edges are 4.9751, 4.9751 and 24.4182 Å and the angles 90.00°, 90.00° and 120.00°. The asymmetric unit holds Ca at (0.0000, 0.0000, 0.1413), Tb at (0.0000, 0.0000, 0.0000), Ni at (0.0000, 0.0000, 0.3326), Ni at (0.0000, 0.0000, 0.5000) and Ni at (0.0017, 0.5009, 0.0805).

Entry from the Alexandria database: a relaxed NbOsPb crystal (PBE-GGA).

Its density of states at the Fermi level is 0.84 states/eV per atom. Its energy relative to the elements is 2.3 eV/f.u.

The structure belongs to space group F-43m (No. 216); the cell edges are 6.398, 6.398 and 6.398 Å and the angles 90.00°, 90.00° and 90.00°. The asymmetric unit holds Nb at (0.000, 0.000, 0.000), Os at (0.250, 0.250, 0.250) and Pb at (0.250, 0.250, 0.750).

Entry from the Alexandria database: a relaxed NdSnIrPd crystal (PBE-GGA).

Its density of states at the Fermi level is 0.74 states/eV per atom. Its energy relative to the elements is -2.2 eV/f.u.

The structure belongs to space group F-43m (No. 216); the cell edges are 6.869, 6.869 and 6.869 Å and the angles 90.00°, 90.00° and 90.00°. The asymmetric unit holds Nd at (0.000, 0.000, 0.000), Sn at (0.000, 0.000, 0.500), Ir at (0.250, 0.250, 0.750) and Pd at (0.250, 0.250, 0.250).

Entry from the Alexandria database: a relaxed DyThAu2 crystal (PBE-GGA).

The energy above the most stable polymorph in this dataset is 0.64 eV per formula unit. Its density of states at the Fermi level is 1.24 states/eV per atom. Its energy relative to the elements is -2.3 eV/f.u.

The structure belongs to space group R-3m (No. 166, hexagonal axes); the cell edges are 4.0118, 4.0118 and 23.4425 Å and the angles 90.00°, 90.00° and 120.00°. The asymmetric unit holds Dy at (0.0000, 0.0000, 0.0000), Th at (0.0000, 0.0000, 0.5000) and Au at (0.0000, 0.0000, 0.2516).

Entry from the Alexandria database: a relaxed TmTa2Ru3 crystal (PBE-GGA).

Its density of states at the Fermi level is 0.58 states/eV per atom. Its energy relative to the elements is -2.7 eV/f.u.

The structure belongs to space group P4/mmm (No. 123); the cell edges are 3.153, 3.153 and 10.310 Å and the angles 90.00°, 90.00° and 90.00°. The asymmetric unit holds Tm at (0.000, 0.000, 0.000), Ta at (0.000, 0.000, 0.338), Ru at (0.500, 0.500, 0.195) and Ru at (0.500, 0.500, 0.500).

Entry from the Alexandria database: a relaxed BaTcRh crystal (PBE-GGA).

The energy above the most stable polymorph in this dataset is 0.24 eV per formula unit. Its density of states at the Fermi level is 1.25 states/eV per atom. Its energy relative to the elements is 0.4 eV/f.u.

The structure belongs to space group P2_1/m (No. 11); the cell edges are 4.284, 4.120 and 9.386 Å and the angles 90.00°, 94.07° and 90.00°. The asymmetric unit holds Ba at (0.225, 0.250, 0.314), Tc at (0.170, 0.750, 0.010) and Rh at (0.329, 0.250, 0.850).

Entry from the Alexandria database: a relaxed Be2PPd8 crystal (PBE-GGA).

The energy above the most stable polymorph in this dataset is 1.44 eV per formula unit. Its density of states at the Fermi level is 0.55 states/eV per atom. Its energy relative to the elements is -2.9 eV/f.u.

The structure belongs to space group Immm (No. 71); the cell edges are 4.278, 7.266 and 10.095 Å and the angles 90.00°, 90.00° and 90.00°. The asymmetric unit holds Be at (0.000, 0.000, 0.195), P at (0.000, 0.000, 0.500), Pd at (0.000, 0.176, 0.000), Pd at (0.000, 0.256, 0.344) and Pd at (0.000, 0.500, 0.140).

Entry from the Alexandria database: a relaxed IrOsOF2 crystal (PBE-GGA).

The energy above the most stable polymorph in this dataset is 0.00 eV per formula unit. The formation energy without anion corrections is 392.3 meV per atom. Its density of states at the Fermi level is 1.05 states/eV per atom.

The structure belongs to space group P4/mmm (No. 123); the cell edges are 4.428, 4.428 and 3.651 Å and the angles 90.00°, 90.00° and 90.00°. The asymmetric unit holds Ir at (0.000, 0.000, 0.000), Os at (0.500, 0.500, 0.500), O at (0.500, 0.500, 0.000) and F at (0.000, 0.500, 0.500).

Entry from the Alexandria database: a relaxed CePmSn crystal (PBE-GGA).

The energy above the most stable polymorph in this dataset is 0.81 eV per formula unit. Its density of states at the Fermi level is 2.46 states/eV per atom. Its energy relative to the elements is -0.9 eV/f.u.

The structure belongs to space group P3m1 (No. 156); the cell edges are 5.2431, 5.2431 and 3.7262 Å and the angles 90.00°, 90.00° and 120.00°. The asymmetric unit holds Ce at (0.0000, 0.0000, 0.0000), Pm at (0.3333, 0.6667, 0.5974) and Sn at (0.6667, 0.3333, 0.3237).

Entry from the Alexandria database: a relaxed VSiS4 crystal (PBE-GGA).

The formation energy without anion corrections is -592.9 meV per atom. Its density of states at the Fermi level is 0.14 states/eV per atom.

The structure belongs to space group I-4 (No. 82); the cell edges are 5.580, 5.580 and 9.510 Å and the angles 90.00°, 90.00° and 90.00°. The asymmetric unit holds V at (0.000, 0.000, 0.000), Si at (0.000, 0.500, 0.750) and S at (0.214, 0.745, 0.872).

Entry from the Alexandria database: a relaxed Y2TmSi2 crystal (PBE-GGA).

The energy above the most stable polymorph in this dataset is 0.47 eV per formula unit. The formation energy without anion corrections is -641.6 meV per atom. Its density of states at the Fermi level is 0.59 states/eV per atom.

The structure belongs to space group C2/m (No. 12); the cell edges are 12.139, 4.274 and 10.373 Å and the angles 90.00°, 116.85° and 90.00°. The asymmetric unit holds Y at (0.017, 0.000, 0.188), Y at (0.180, 0.000, 0.589), Tm at (0.222, 0.500, 0.864), Si at (0.017, 0.500, 0.394) and Si at (0.112, 0.500, 0.059).

Entry from the Alexandria database: a relaxed PrNd2TlO crystal (PBE-GGA).

The formation energy without anion corrections is -1341.7 meV per atom. Its density of states at the Fermi level is 0.35 states/eV per atom.

The structure belongs to space group P4/mmm (No. 123); the cell edges are 4.989, 4.989 and 5.037 Å and the angles 90.00°, 90.00° and 90.00°. The asymmetric unit holds Pr at (0.000, 0.000, 0.000), Nd at (0.000, 0.500, 0.500), Tl at (0.500, 0.500, 0.000) and O at (0.000, 0.000, 0.500).

Entry from the Alexandria database: a relaxed Er5CdIn6 crystal (PBE-GGA).

Its density of states at the Fermi level is 0.72 states/eV per atom. Its energy relative to the elements is -4.7 eV/f.u.

The structure belongs to space group Immm (No. 71); the cell edges are 4.759, 8.899 and 14.514 Å and the angles 90.00°, 90.00° and 90.00°. The asymmetric unit holds Er at (0.000, 0.000, 0.000), Er at (0.000, 0.000, 0.351), Er at (0.000, 0.500, 0.329), Cd at (0.000, 0.500, 0.000), In at (0.000, 0.246, 0.171) and In at (0.000, 0.258, 0.500).

Entry from the Alexandria database: a relaxed TiOsRuS crystal (PBE-GGA).

The energy above the most stable polymorph in this dataset is 0.41 eV per formula unit. The formation energy without anion corrections is -234.2 meV per atom. Its density of states at the Fermi level is 0.80 states/eV per atom.

The structure belongs to space group Amm2 (No. 38); the cell edges are 2.892, 3.965 and 10.209 Å and the angles 90.00°, 90.00° and 90.00°. The asymmetric unit holds Ti at (0.000, 0.000, 0.000), Os at (0.000, 0.000, 0.731), Ru at (0.500, 0.000, 0.329) and S at (0.500, 0.000, 0.553).

Entry from the Alexandria database: a relaxed Tl3SbAu crystal (PBE-GGA).

The energy above the most stable polymorph in this dataset is 0.00 eV per formula unit. The formation energy without anion corrections is -17.0 meV per atom. Its density of states at the Fermi level is 0.39 states/eV per atom.

The structure belongs to space group Ima2 (No. 46); the cell edges are 10.365, 7.763 and 7.753 Å and the angles 90.00°, 90.00° and 90.00°. The asymmetric unit holds Tl at (0.035, 0.249, 0.000), Tl at (0.250, 0.040, 0.251), Sb at (0.250, 0.503, 0.249) and Au at (0.250, 0.749, 0.500).

Entry from the Alexandria database: a relaxed Ac3Ga2S8 crystal (PBE-GGA).

The formation energy without anion corrections is -1363.8 meV per atom. Its density of states at the Fermi level is 0.51 states/eV per atom.

The structure belongs to space group R-3m (No. 166, hexagonal axes); the cell edges are 6.6550, 6.6550 and 25.2314 Å and the angles 90.00°, 90.00° and 120.00°. The asymmetric unit holds Ac at (0.0000, 0.0000, 0.0000), Ac at (0.0000, 0.0000, 0.2077), Ga at (0.0000, 0.0000, 0.4069), S at (0.0000, 0.0000, 0.3185) and S at (0.0312, 0.5156, 0.7711).

| no. | E_tot (eV per atom) |
| --- | --- |
| 1 | -5.51 |
| 2 | -7.39 |
| 3 | -5.42 |
| 4 | -6.44 |
| 5 | -2.96 |
| 6 | -4.02 |
| 7 | -3.09 |
| 8 | -5.71 |
| 9 | -3.80 |
| 10 | -5.31 |
| 11 | -7.56 |
| 12 | -6.26 |
| 13 | -5.23 |
| 14 | -9.78 |
| 15 | -6.41 |
| 16 | -5.21 |
| 17 | -5.37 |
| 18 | -5.19 |
| 19 | -5.77 |
| 20 | -6.29 |
| 21 | -5.67 |
| 22 | -3.74 |
| 23 | -8.37 |
| 24 | -2.92 |
| 25 | -5.32 |